# 1
Compound: Ca3Mn4BiO12
Source: Alexandria
Functional: PBE+U
Structure: relaxed

```
data_Ca3Mn4BiO12
_cell_length_a 7.6220
_cell_length_b 5.3953
_cell_length_c 5.5073
_cell_angle_alpha 89.70
_cell_angle_beta 90.00
_cell_angle_gamma 90.00
_space_group_name_H-M_alt 'P 1'
_space_group_IT_number 1
loop_
_space_group_symop_operation_xyz
'x,y,z'
loop_
_atom_site_label
_atom_site_type_symbol
_atom_site_fract_x
_atom_site_fract_y
_atom_site_fract_z
O1 O 0.2896 0.7045 0.2936
O2 O 0.2937 0.7951 0.7930
O3 O 0.7063 0.7951 0.7930
O4 O 0.2078 0.2935 0.7080
Mn1 Mn 0.2539 0.9979 0.5016
Ca1 Ca 0.5000 0.5097 0.5476
Mn2 Mn 0.7460 0.5016 0.9976
O5 O 0.0000 0.5807 0.0233
O6 O 0.7922 0.2935 0.7080
Mn3 Mn 0.7461 0.9979 0.5016
Mn4 Mn 0.2540 0.5016 0.9976
O7 O 0.5000 0.0823 0.4733
Bi1 Bi 0.0000 0.4892 0.4434
Ca2 Ca 0.5000 0.9882 0.0476
O8 O 0.7104 0.7045 0.2936
O9 O 0.5000 0.4144 0.9765
O10 O 0.7969 0.2116 0.2130
Ca3 Ca 0.0000 0.0105 0.9524
O11 O 0.0000 0.9163 0.5227
O12 O 0.2031 0.2116 0.2130
```

Values from the calculation:
Density: 5.4 g/cm3
Magnetization: 13.00 μB per formula unit
Space group: Pm


# 2
Compound: PuSc2MnO8
Source: Alexandria
Functional: PBE+U
Structure: relaxed

```
data_PuSc2MnO8
_cell_length_a 4.8032
_cell_length_b 4.8016
_cell_length_c 6.3829
_cell_angle_alpha 90.00
_cell_angle_beta 90.00
_cell_angle_gamma 92.09
_space_group_name_H-M_alt 'P 1'
_space_group_IT_number 1
loop_
_space_group_symop_operation_xyz
'x,y,z'
loop_
_atom_site_label
_atom_site_type_symbol
_atom_site_fract_x
_atom_site_fract_y
_atom_site_fract_z
Mn1 Mn 0.0000 0.0000 0.5000
Sc1 Sc 0.4999 0.5000 0.7339
O1 O 0.7079 0.7082 0.5000
O2 O 0.3035 0.3033 0.0000
O3 O 0.1844 0.8153 0.2587
O4 O 0.8156 0.1847 0.7413
Sc2 Sc 0.5001 0.5000 0.2661
Pu1 Pu 0.0000 0.0000 0.0000
O5 O 0.1845 0.8153 0.7412
O6 O 0.6965 0.6967 0.0000
O7 O 0.2921 0.2918 0.5000
O8 O 0.8155 0.1847 0.2588
```

Values from the calculation:
Density: 5.8 g/cm3
Magnetization: 5.00 μB per formula unit
Space group: Cmmm


no.,E (eV/atom)
1,-6.88
2,-8.77